[1]
Entry from Alexandria: a relaxed CaZr2Ta crystal (PBE).

Lattice parameters (Å, degrees): 3.170 4.516 6.908 90.00 90.00 90.00
Fractional positions:
Ta (0.500, 0.500, 0.795)
Zr (0.500, 0.500, 0.210)
Zr (0.000, 0.000, 0.983)
Ca (0.000, 0.000, 0.512)

Energy above the most stable polymorph in this dataset = 175.0 meV/atom
Space-group type = Pmm2
Formation energy = 395 meV/atom
Crystal system = orthorhombic
Total moment = 0.0 μB per formula unit


[2]
Entry from Alexandria: a relaxed CaZrTa2 crystal (PBE).

Lattice parameters (Å, degrees): 5.906 5.906 2.824 90.00 90.00 119.00
Fractional positions:
Ca (0.000, 0.500, 0.500)
Ta (0.000, 0.000, 0.000)
Ta (0.500, 0.500, 0.000)
Zr (0.500, 0.000, 0.500)

Energy above the most stable polymorph in this dataset = 269.5 meV/atom
Space-group type = Cmmm
Formation energy = 586 meV/atom
Crystal system = orthorhombic
Total moment = 0.0 μB per formula unit


Sequential N(E_F) output: 5.52; 6.54 states/eV/f.u.